[1]
# Na2TlPd2, single point on PBEsol structure, DFT SCAN
# * energy relative to the elements: -199 meV per atom
data_Na2TlPd2
_chemical_formula_sum 'Na4 Tl2 Pd4'
_space_group_name_H-M_alt 'P 4/m b m'
_space_group_IT_number 127
_space_group_name_Hall '-P 4 2ab'
_cell_length_a 6.799
_cell_length_b 6.799
_cell_length_c 4.601
_cell_angle_alpha 90.00
_cell_angle_beta 90.00
_cell_angle_gamma 90.00
loop_
_atom_site_label
_atom_site_type_symbol
_atom_site_fract_x
_atom_site_fract_y
_atom_site_fract_z
Na1 Na 0.166 0.334 0.000
Tl1 Tl 0.000 0.000 0.500
Pd1 Pd 0.135 0.635 0.500



[2]
# TaHg2As, single point on PBEsol structure, DFT SCAN
# * energy relative to the elements: 310 meV per atom
data_TaHg2As
_chemical_formula_sum 'Ta1 Hg2 As1'
_space_group_name_H-M_alt 'P 1 m 1'
_space_group_IT_number 6
_cell_length_a 2.901
_cell_length_b 4.879
_cell_length_c 5.476
_cell_angle_alpha 90.00
_cell_angle_beta 93.24
_cell_angle_gamma 90.00
loop_
_space_group_symop_operation_xyz
'x,y,z'
'x,-y,z'
loop_
_atom_site_label
_atom_site_type_symbol
_atom_site_fract_x
_atom_site_fract_y
_atom_site_fract_z
Ta1 Ta 0.000 0.000 0.000
Hg1 Hg 0.464 0.500 0.756
Hg2 Hg 0.568 0.000 0.481
As1 As 0.084 0.500 0.207



[3]
# CdTc3, single point on PBEsol structure, DFT SCAN
# * energy relative to the elements: 474 meV per atom
data_CdTc3
_chemical_formula_sum 'Cd2 Tc6'
_space_group_name_H-M_alt 'I 4/m m m'
_space_group_IT_number 139
_space_group_name_Hall '-I 4 2'
_cell_length_a 3.852
_cell_length_b 3.852
_cell_length_c 8.061
_cell_angle_alpha 90.00
_cell_angle_beta 90.00
_cell_angle_gamma 90.00
loop_
_atom_site_label
_atom_site_type_symbol
_atom_site_fract_x
_atom_site_fract_y
_atom_site_fract_z
Cd1 Cd 0.000 0.000 0.000
Tc1 Tc 0.000 0.000 0.500
Tc2 Tc 0.000 0.500 0.250



[4]
# LiMg2Os, single point on PBEsol structure, DFT SCAN
# * energy relative to the elements: 145 meV per atom
data_LiMg2Os
_chemical_formula_sum 'Li2 Mg4 Os2'
_space_group_name_H-M_alt 'I m m 2'
_space_group_IT_number 44
_cell_length_a 2.835
_cell_length_b 4.689
_cell_length_c 9.525
_cell_angle_alpha 90.00
_cell_angle_beta 90.00
_cell_angle_gamma 90.00
loop_
_space_group_symop_operation_xyz
'x,y,z'
'-x,-y,z'
'-x,y,z'
'x,-y,z'
'x+1/2,y+1/2,z+1/2'
'-x+1/2,-y+1/2,z+1/2'
'-x+1/2,y+1/2,z+1/2'
'x+1/2,-y+1/2,z+1/2'
loop_
_atom_site_label
_atom_site_type_symbol
_atom_site_fract_x
_atom_site_fract_y
_atom_site_fract_z
Li1 Li 0.000 0.000 0.000
Mg1 Mg 0.000 0.000 0.473
Mg2 Mg 0.000 0.500 0.244
Os1 Os 0.000 0.500 0.730



[5]
# AgMo2Pb, single point on PBEsol structure, DFT SCAN
# * energy relative to the elements: 897 meV per atom
data_AgMo2Pb
_chemical_formula_sum 'Ag3 Mo6 Pb3'
_space_group_name_H-M_alt 'R -3 m'
_space_group_IT_number 166
_space_group_name_Hall '-R 3 2"'
_cell_length_a 2.9417
_cell_length_b 2.9417
_cell_length_c 28.3357
_cell_angle_alpha 90.00
_cell_angle_beta 90.00
_cell_angle_gamma 120.00
loop_
_atom_site_label
_atom_site_type_symbol
_atom_site_fract_x
_atom_site_fract_y
_atom_site_fract_z
Ag1 Ag 0.0000 0.0000 0.0000
Mo1 Mo 0.0000 0.0000 0.2523
Pb1 Pb 0.0000 0.0000 0.5000



[6]
# AlOsW2, single point on PBEsol structure, DFT SCAN
# * energy relative to the elements: 53 meV per atom
data_AlOsW2
_chemical_formula_sum 'Al2 Os2 W4'
_space_group_name_H-M_alt 'C m m m'
_space_group_IT_number 65
_space_group_name_Hall '-C 2 2'
_cell_length_a 5.272
_cell_length_b 8.194
_cell_length_c 2.759
_cell_angle_alpha 90.00
_cell_angle_beta 90.00
_cell_angle_gamma 90.00
loop_
_atom_site_label
_atom_site_type_symbol
_atom_site_fract_x
_atom_site_fract_y
_atom_site_fract_z
Al1 Al 0.000 0.000 0.000
Os1 Os 0.000 0.500 0.000
W1 W 0.250 0.250 0.500



[7]
# CaSnSe2N, single point on PBEsol structure, DFT SCAN
# * uncorrected formation energy: -0.24 eV per atom
data_CaSnSe2N
_chemical_formula_sum 'Ca1 Sn1 Se2 N1'
_space_group_name_H-M_alt 'P 4/m m m'
_space_group_IT_number 123
_space_group_name_Hall '-P 4 2'
_cell_length_a 5.318
_cell_length_b 5.318
_cell_length_c 4.044
_cell_angle_alpha 90.00
_cell_angle_beta 90.00
_cell_angle_gamma 90.00
loop_
_atom_site_label
_atom_site_type_symbol
_atom_site_fract_x
_atom_site_fract_y
_atom_site_fract_z
Ca1 Ca 0.000 0.000 0.000
Sn1 Sn 0.500 0.500 0.500
Se1 Se 0.000 0.500 0.500
N1 N 0.500 0.500 0.000



[8]
# NaCdO2F, single point on PBEsol structure, DFT SCAN
# * uncorrected formation energy: -0.58 eV per atom
data_NaCdO2F
_chemical_formula_sum 'Na1 Cd1 O2 F1'
_space_group_name_H-M_alt 'P 4/m m m'
_space_group_IT_number 123
_space_group_name_Hall '-P 4 2'
_cell_length_a 4.058
_cell_length_b 4.058
_cell_length_c 3.984
_cell_angle_alpha 90.00
_cell_angle_beta 90.00
_cell_angle_gamma 90.00
loop_
_atom_site_label
_atom_site_type_symbol
_atom_site_fract_x
_atom_site_fract_y
_atom_site_fract_z
Na1 Na 0.000 0.000 0.000
Cd1 Cd 0.500 0.500 0.500
O1 O 0.000 0.500 0.000
F1 F 0.000 0.000 0.500



Let's list mass density in order: 7.2; 14.1; 11.3; 6.4; 11.9; 16.3; 4.8; 4.7 g/cm3.